No. 1
Sr3AcPt: optimized geometry, PBE.

```
data_Sr3AcPt
_space_group_name_H-M_alt 'P m -3 m'
_space_group_IT_number 221
_space_group_name_Hall '-P 4 2 3'
_cell_length_a 6.009
_cell_length_b 6.009
_cell_length_c 6.009
_cell_angle_alpha 90.00
_cell_angle_beta 90.00
_cell_angle_gamma 90.00
loop_
_atom_site_label
_atom_site_fract_x
_atom_site_fract_y
_atom_site_fract_z
Sr1 0.000 0.000 0.500
Ac1 0.500 0.500 0.500
Pt1 0.000 0.000 0.000
```

Output
M_tot: 0.00 μB per cell
ΔH_f (0 K): -0.28 eV per atom
VASP energy: -3.32 eV per atom
ρ: 5.24 g cm⁻³

No. 2
Sr2AcPt2: optimized geometry, PBE.

```
data_Sr2AcPt2
_space_group_name_H-M_alt 'P 1 21/m 1'
_space_group_IT_number 11
_cell_length_a 6.084
_cell_length_b 4.623
_cell_length_c 11.765
_cell_angle_alpha 90.00
_cell_angle_beta 101.85
_cell_angle_gamma 90.00
loop_
_space_group_symop_operation_xyz
'x,y,z'
'-x,-y,-z'
'-x,y+1/2,-z'
'x,-y+1/2,z'
loop_
_atom_site_label
_atom_site_fract_x
_atom_site_fract_y
_atom_site_fract_z
Sr1 0.052 0.250 0.287
Sr2 0.292 0.750 0.041
Ac1 0.399 0.250 0.623
Pt1 0.149 0.750 0.471
Pt2 0.488 0.750 0.806
```

Output
M_tot: 0.00 μB per cell
ΔH_f (0 K): -0.86 eV per atom
VASP energy: -4.77 eV per atom
ρ: 8.13 g cm⁻³

No. 3
Sr2Ac5Pt5: optimized geometry, PBE.

```
data_Sr2Ac5Pt5
_space_group_name_H-M_alt 'C 1 2/m 1'
_space_group_IT_number 12
_cell_length_a 14.603
_cell_length_b 4.269
_cell_length_c 12.999
_cell_angle_alpha 90.00
_cell_angle_beta 103.40
_cell_angle_gamma 90.00
loop_
_space_group_symop_operation_xyz
'x,y,z'
'-x,-y,-z'
'-x,y,-z'
'x,-y,z'
'x+1/2,y+1/2,z'
'-x+1/2,-y+1/2,-z'
'-x+1/2,y+1/2,-z'
'x+1/2,-y+1/2,z'
loop_
_atom_site_label
_atom_site_fract_x
_atom_site_fract_y
_atom_site_fract_z
Sr1 0.042 0.000 0.283
Ac1 0.000 0.500 0.000
Ac2 0.152 0.500 0.547
Ac3 0.239 0.500 0.857
Pt1 0.000 0.000 0.500
Pt2 0.118 0.000 0.928
Pt3 0.211 0.500 0.322
```

Output
M_tot: 0.00 μB per cell
ΔH_f (0 K): -0.96 eV per atom
VASP energy: -5.47 eV per atom
ρ: 9.63 g cm⁻³

No. 4
SrAcPt2: optimized geometry, PBE.

```
data_SrAcPt2
_space_group_name_H-M_alt 'F m -3 m'
_space_group_IT_number 225
_space_group_name_Hall '-F 4 2 3'
_cell_length_a 7.453
_cell_length_b 7.453
_cell_length_c 7.453
_cell_angle_alpha 90.00
_cell_angle_beta 90.00
_cell_angle_gamma 90.00
loop_
_atom_site_label
_atom_site_fract_x
_atom_site_fract_y
_atom_site_fract_z
Sr1 0.000 0.000 0.000
Ac1 0.000 0.000 0.500
Pt1 0.250 0.250 0.250
```

Output
M_tot: 0.00 μB per cell
ΔH_f (0 K): -0.93 eV per atom
VASP energy: -5.40 eV per atom
offset from the most stable computed form: 72 meV/atom
ρ: 11.31 g cm⁻³

No. 5
SrAcPt2: optimized geometry, PBE.

```
data_SrAcPt2
_space_group_name_H-M_alt 'A m m 2'
_space_group_IT_number 38
_cell_length_a 4.578
_cell_length_b 4.187
_cell_length_c 11.418
_cell_angle_alpha 90.00
_cell_angle_beta 90.00
_cell_angle_gamma 90.00
loop_
_space_group_symop_operation_xyz
'x,y,z'
'-x,-y,z'
'-x,y,z'
'x,-y,z'
'x,y+1/2,z+1/2'
'-x,-y+1/2,z+1/2'
'-x,y+1/2,z+1/2'
'x,-y+1/2,z+1/2'
loop_
_atom_site_label
_atom_site_fract_x
_atom_site_fract_y
_atom_site_fract_z
Sr1 0.000 0.000 0.000
Ac1 0.500 0.000 0.276
Pt1 0.000 0.000 0.722
Pt2 0.500 0.000 0.558
```

Output
M_tot: 0.00 μB per cell
ΔH_f (0 K): -1.01 eV per atom
VASP energy: -5.47 eV per atom
offset from the most stable computed form: 0 meV/atom
ρ: 10.69 g cm⁻³

No. 6
Sr2AcPt: optimized geometry, PBE.

```
data_Sr2AcPt
_space_group_name_H-M_alt 'R -3 m'
_space_group_IT_number 166
_space_group_name_Hall '-R 3 2"'
_cell_length_a 4.0984
_cell_length_b 4.0984
_cell_length_c 34.7249
_cell_angle_alpha 90.00
_cell_angle_beta 90.00
_cell_angle_gamma 120.00
loop_
_atom_site_label
_atom_site_fract_x
_atom_site_fract_y
_atom_site_fract_z
Sr1 0.0000 0.0000 0.1147
Ac1 0.0000 0.0000 0.0000
Pt1 0.0000 0.0000 0.5000
```

Output
M_tot: 0.00 μB per cell
ΔH_f (0 K): -0.26 eV per atom
VASP energy: -3.64 eV per atom
offset from the most stable computed form: 352 meV/atom
ρ: 5.89 g cm⁻³

No. 7
Sr2Ac3Pt4: optimized geometry, PBE.

```
data_Sr2Ac3Pt4
_space_group_name_H-M_alt 'C 1 2/c 1'
_space_group_IT_number 15
_cell_length_a 15.256
_cell_length_b 11.620
_cell_length_c 6.230
_cell_angle_alpha 90.00
_cell_angle_beta 94.23
_cell_angle_gamma 90.00
loop_
_space_group_symop_operation_xyz
'x,y,z'
'-x,-y,-z'
'-x,y,-z+1/2'
'x,-y,z+1/2'
'x+1/2,y+1/2,z'
'-x+1/2,-y+1/2,-z'
'-x+1/2,y+1/2,-z+1/2'
'x+1/2,-y+1/2,z+1/2'
loop_
_atom_site_label
_atom_site_fract_x
_atom_site_fract_y
_atom_site_fract_z
Sr1 0.199 0.114 0.364
Ac1 0.000 0.129 0.750
Ac2 0.104 0.387 0.063
Pt1 0.093 0.342 0.558
Pt2 0.192 0.168 0.867
```

Output
M_tot: 0.00 μB per cell
ΔH_f (0 K): -0.94 eV per atom
VASP energy: -5.36 eV per atom
ρ: 9.87 g cm⁻³

No. 8
SrAc3Pt8: optimized geometry, PBE.

```
data_SrAc3Pt8
_space_group_name_H-M_alt 'R 3 m'
_space_group_IT_number 160
_space_group_name_Hall 'R 3 -2"'
_cell_length_a 5.6344
_cell_length_b 5.6344
_cell_length_c 27.6947
_cell_angle_alpha 90.00
_cell_angle_beta 90.00
_cell_angle_gamma 120.00
loop_
_atom_site_label
_atom_site_fract_x
_atom_site_fract_y
_atom_site_fract_z
Sr1 0.0000 0.0000 0.0000
Ac1 0.0000 0.0000 0.1235
Ac2 0.0000 0.0000 0.5024
Ac3 0.0000 0.0000 0.6290
Pt1 0.0000 0.0000 0.3140
Pt2 0.0000 0.0000 0.8138
Pt3 0.0016 0.5008 0.0639
Pt4 0.1671 0.3343 0.8969
```

Output
M_tot: 0.00 μB per cell
ΔH_f (0 K): -1.00 eV per atom
VASP energy: -6.19 eV per atom
ρ: 15.24 g cm⁻³

No. 9
SrAcPt: optimized geometry, PBE.

```
data_SrAcPt
_space_group_name_H-M_alt 'P n m a'
_space_group_IT_number 62
_cell_length_a 8.469
_cell_length_b 4.494
_cell_length_c 11.976
_cell_angle_alpha 90.00
_cell_angle_beta 90.00
_cell_angle_gamma 90.00
loop_
_space_group_symop_operation_xyz
'x,y,z'
'-x,-y,-z'
'-x+1/2,-y,z+1/2'
'x+1/2,y,-z+1/2'
'x+1/2,-y+1/2,-z+1/2'
'-x+1/2,y+1/2,z+1/2'
'-x,y+1/2,-z'
'x,-y+1/2,z'
loop_
_atom_site_label
_atom_site_fract_x
_atom_site_fract_y
_atom_site_fract_z
Sr1 0.202 0.250 0.026
Ac1 0.020 0.250 0.706
Pt1 0.082 0.250 0.436
```

Output
M_tot: 0.00 μB per cell
ΔH_f (0 K): -0.53 eV per atom
VASP energy: -4.48 eV per atom
offset from the most stable computed form: 217 meV/atom
ρ: 7.43 g cm⁻³

No. 10
SrAc4Pt5: optimized geometry, PBE.

```
data_SrAc4Pt5
_space_group_name_H-M_alt 'I 4/m m m'
_space_group_IT_number 139
_space_group_name_Hall '-I 4 2'
_cell_length_a 4.387
_cell_length_b 4.387
_cell_length_c 30.949
_cell_angle_alpha 90.00
_cell_angle_beta 90.00
_cell_angle_gamma 90.00
loop_
_atom_site_label
_atom_site_fract_x
_atom_site_fract_y
_atom_site_fract_z
Sr1 0.000 0.000 0.000
Ac1 0.000 0.000 0.200
Ac2 0.000 0.000 0.401
Pt1 0.000 0.000 0.102
Pt2 0.000 0.000 0.300
Pt3 0.000 0.000 0.500
```

Output
M_tot: 0.00 μB per cell
ΔH_f (0 K): -1.08 eV per atom
VASP energy: -5.91 eV per atom
ρ: 10.99 g cm⁻³

No. 11
SrAc5Pt4: optimized geometry, PBE.

```
data_SrAc5Pt4
_space_group_name_H-M_alt 'C 1 2/m 1'
_space_group_IT_number 12
_cell_length_a 19.044
_cell_length_b 4.413
_cell_length_c 8.830
_cell_angle_alpha 90.00
_cell_angle_beta 104.77
_cell_angle_gamma 90.00
loop_
_space_group_symop_operation_xyz
'x,y,z'
'-x,-y,-z'
'-x,y,-z'
'x,-y,z'
'x+1/2,y+1/2,z'
'-x+1/2,-y+1/2,-z'
'-x+1/2,y+1/2,-z'
'x+1/2,-y+1/2,z'
loop_
_atom_site_label
_atom_site_fract_x
_atom_site_fract_y
_atom_site_fract_z
Sr1 0.000 0.000 0.000
Ac1 0.000 0.000 0.500
Ac2 0.163 0.500 0.328
Ac3 0.165 0.500 0.860
Pt1 0.001 0.500 0.265
Pt2 0.173 0.000 0.104
```

Output
M_tot: 0.00 μB per cell
ΔH_f (0 K): -0.91 eV per atom
VASP energy: -5.55 eV per atom
ρ: 9.27 g cm⁻³

No. 12
SrAcPt2: optimized geometry, PBE.

```
data_SrAcPt2
_space_group_name_H-M_alt 'P 4/m m m'
_space_group_IT_number 123
_space_group_name_Hall '-P 4 2'
_cell_length_a 3.758
_cell_length_b 3.758
_cell_length_c 7.464
_cell_angle_alpha 90.00
_cell_angle_beta 90.00
_cell_angle_gamma 90.00
loop_
_atom_site_label
_atom_site_fract_x
_atom_site_fract_y
_atom_site_fract_z
Sr1 0.000 0.000 0.000
Ac1 0.000 0.000 0.500
Pt1 0.500 0.500 0.268
```

Output
M_tot: 0.00 μB per cell
ΔH_f (0 K): -0.94 eV per atom
VASP energy: -5.40 eV per atom
offset from the most stable computed form: 71 meV/atom
ρ: 11.10 g cm⁻³

No. 13
SrAc8Pt6: optimized geometry, PBE.

```
data_SrAc8Pt6
_space_group_name_H-M_alt 'R -3'
_space_group_IT_number 148
_space_group_name_Hall '-R 3'
_cell_length_a 7.6881
_cell_length_b 7.6881
_cell_length_c 31.3279
_cell_angle_alpha 90.00
_cell_angle_beta 90.00
_cell_angle_gamma 120.00
loop_
_atom_site_label
_atom_site_fract_x
_atom_site_fract_y
_atom_site_fract_z
Sr1 0.0000 0.0000 0.0000
Ac1 0.0000 0.0000 0.3333
Ac2 0.9998 0.3321 0.1086
Pt1 0.9998 0.3381 0.9405
```

Output
M_tot: 0.00 μB per cell
ΔH_f (0 K): -0.92 eV per atom
VASP energy: -5.64 eV per atom
ρ: 9.55 g cm⁻³

No. 14
SrAc2Pt6: optimized geometry, PBE.

```
data_SrAc2Pt6
_space_group_name_H-M_alt 'P 6/m m m'
_space_group_IT_number 191
_space_group_name_Hall '-P 6 2'
_cell_length_a 7.8008
_cell_length_b 7.8008
_cell_length_c 4.1988
_cell_angle_alpha 90.00
_cell_angle_beta 90.00
_cell_angle_gamma 120.00
loop_
_atom_site_label
_atom_site_fract_x
_atom_site_fract_y
_atom_site_fract_z
Sr1 0.0000 0.0000 0.0000
Ac1 0.3333 0.6667 0.0000
Pt1 0.0000 0.3337 0.5000
```

Output
M_tot: 0.00 μB per cell
ΔH_f (0 K): -0.96 eV per atom
VASP energy: -6.08 eV per atom
ρ: 12.85 g cm⁻³

No. 15
SrAc8Pt5: optimized geometry, PBE.

```
data_SrAc8Pt5
_space_group_name_H-M_alt 'C 1 2/m 1'
_space_group_IT_number 12
_cell_length_a 22.890
_cell_length_b 4.470
_cell_length_c 10.942
_cell_angle_alpha 90.00
_cell_angle_beta 103.34
_cell_angle_gamma 90.00
loop_
_space_group_symop_operation_xyz
'x,y,z'
'-x,-y,-z'
'-x,y,-z'
'x,-y,z'
'x+1/2,y+1/2,z'
'-x+1/2,-y+1/2,-z'
'-x+1/2,y+1/2,-z'
'x+1/2,-y+1/2,z'
loop_
_atom_site_label
_atom_site_fract_x
_atom_site_fract_y
_atom_site_fract_z
Sr1 0.000 0.000 0.000
Ac1 0.074 0.000 0.655
Ac2 0.093 0.500 0.343
Ac3 0.174 0.500 0.990
Ac4 0.238 0.500 0.659
Pt1 0.000 0.500 0.500
Pt2 0.165 0.000 0.493
Pt3 0.203 0.000 0.829
```

Output
M_tot: 0.00 μB per cell
ΔH_f (0 K): -0.86 eV per atom
VASP energy: -5.49 eV per atom
ρ: 8.78 g cm⁻³

No. 16
SrAcPt2: optimized geometry, PBE.

```
data_SrAcPt2
_space_group_name_H-M_alt 'R 3 m'
_space_group_IT_number 160
_space_group_name_Hall 'R 3 -2"'
_cell_length_a 4.2860
_cell_length_b 4.2860
_cell_length_c 22.4705
_cell_angle_alpha 90.00
_cell_angle_beta 90.00
_cell_angle_gamma 120.00
loop_
_atom_site_label
_atom_site_fract_x
_atom_site_fract_y
_atom_site_fract_z
Sr1 0.0000 0.0000 0.0000
Ac1 0.0000 0.0000 0.1715
Pt1 0.0000 0.0000 0.5841
Pt2 0.0000 0.0000 0.7563
```

Output
M_tot: 0.00 μB per cell
ΔH_f (0 K): -0.89 eV per atom
VASP energy: -5.36 eV per atom
offset from the most stable computed form: 118 meV/atom
ρ: 9.82 g cm⁻³

No. 17
SrAcPt4: optimized geometry, PBE.

```
data_SrAcPt4
_space_group_name_H-M_alt 'F -4 3 m'
_space_group_IT_number 216
_space_group_name_Hall 'F -4 2 3'
_cell_length_a 7.942
_cell_length_b 7.942
_cell_length_c 7.942
_cell_angle_alpha 90.00
_cell_angle_beta 90.00
_cell_angle_gamma 90.00
loop_
_atom_site_label
_atom_site_fract_x
_atom_site_fract_y
_atom_site_fract_z
Sr1 0.000 0.000 0.000
Ac1 0.250 0.250 0.250
Pt1 0.125 0.125 0.625
```

Output
M_tot: 0.00 μB per cell
ΔH_f (0 K): -0.97 eV per atom
VASP energy: -5.96 eV per atom
ρ: 14.52 g cm⁻³

No. 18
SrAcTlPt: optimized geometry, PBE.

```
data_SrAcTlPt
_space_group_name_H-M_alt 'F -4 3 m'
_space_group_IT_number 216
_space_group_name_Hall 'F -4 2 3'
_cell_length_a 7.826
_cell_length_b 7.826
_cell_length_c 7.826
_cell_angle_alpha 90.00
_cell_angle_beta 90.00
_cell_angle_gamma 90.00
loop_
_atom_site_label
_atom_site_fract_x
_atom_site_fract_y
_atom_site_fract_z
Sr1 0.000 0.000 0.000
Ac1 0.000 0.000 0.500
Tl1 0.250 0.250 0.750
Pt1 0.250 0.250 0.250
```

Output
M_tot: 0.00 μB per cell
ΔH_f (0 K): -0.54 eV per atom
VASP energy: -4.09 eV per atom
ρ: 9.90 g cm⁻³

No. 19
SrAcZn2Pt2: optimized geometry, PBE.

```
data_SrAcZn2Pt2
_space_group_name_H-M_alt 'P -3 m 1'
_space_group_IT_number 164
_space_group_name_Hall '-P 3 2"'
_cell_length_a 4.4806
_cell_length_b 4.4806
_cell_length_c 8.4048
_cell_angle_alpha 90.00
_cell_angle_beta 90.00
_cell_angle_gamma 120.00
loop_
_atom_site_label
_atom_site_fract_x
_atom_site_fract_y
_atom_site_fract_z
Sr1 0.0000 0.0000 0.0000
Ac1 0.0000 0.0000 0.5000
Zn1 0.3333 0.6667 0.7561
Pt1 0.3333 0.6667 0.2653
```

Output
M_tot: 0.00 μB per cell
ΔH_f (0 K): -0.80 eV per atom
VASP energy: -4.20 eV per atom
ρ: 9.50 g cm⁻³

No. 20
SrAcZnPt: optimized geometry, PBE.

```
data_SrAcZnPt
_space_group_name_H-M_alt 'A m m 2'
_space_group_IT_number 38
_cell_length_a 4.356
_cell_length_b 4.362
_cell_length_c 12.287
_cell_angle_alpha 90.00
_cell_angle_beta 90.00
_cell_angle_gamma 90.00
loop_
_space_group_symop_operation_xyz
'x,y,z'
'-x,-y,z'
'-x,y,z'
'x,-y,z'
'x,y+1/2,z+1/2'
'-x,-y+1/2,z+1/2'
'-x,y+1/2,z+1/2'
'x,-y+1/2,z+1/2'
loop_
_atom_site_label
_atom_site_fract_x
_atom_site_fract_y
_atom_site_fract_z
Sr1 0.000 0.000 0.000
Ac1 0.500 0.000 0.280
Zn1 0.500 0.000 0.580
Pt1 0.000 0.000 0.720
```

Output
M_tot: 0.00 μB per cell
ΔH_f (0 K): -0.67 eV per atom
VASP energy: -3.95 eV per atom
offset from the most stable computed form: 0 meV/atom
ρ: 8.18 g cm⁻³